This record from Alexandria via LeMat-Bulk describes a geometry-optimized Ac4Nd8Dy structure. The functional is PBE-GGA.

Output
- VASP energy (eV/atom) = -4.041

Cell and atoms, written as extended XYZ:
```
13
Lattice="10.2160 -0.0008 -5.5118 -6.5944 9.5530 -0.0005 -2.4789 -1.7108 7.6291" Properties=species:S:1:pos:R:3 pbc="T T T"
Ac 0.0000 0.0000 0.0000
Ac -5.7761 3.0657 7.6288
Ac 1.8108 4.7761 -2.7562
Ac 5.1080 -0.0004 -2.7559
Nd -0.4078 6.7710 -0.7568
Nd 1.5504 1.0704 2.8736
Nd 2.7508 1.8988 -0.8302
Nd -3.4732 1.0233 5.7858
Nd -1.6081 5.9426 2.9470
Nd -6.8693 5.9430 5.7855
Nd 8.0120 1.8984 -3.6687
Nd 4.6159 6.8181 -3.6690
Dy -4.5367 3.9211 3.8143
```